No. 1
Material: BaZrSb2
Method: DFT, PBE
State: optimized geometry

Summary:
- Polymorph energy (0 for the lowest one): 448.3 meV per atom
- Spin magnetization: 0.428 μB/f.u.

Cell lengths 5.9148, 5.9148, 3.3329 Å; angles 90.00, 90.00, 90.00 degrees
Closest atoms and distances in Å follow each position.
Space group P4/mmm (No. 123)
Symmetry-distinct sites (fractional):
Ba1 0.0000 0.0000 0.0000  2 Ba 3.33, 8 Sb 3.39
Zr1 0.5000 0.5000 0.0000  2 Zr 3.33, 8 Sb 3.39
Sb1 0.0000 0.5000 0.5000  2 Sb 3.33, 4 Zr 3.39, 4 Ba 3.39



No. 2
Material: HfTi2H2
Method: DFT, PBE
State: optimized geometry

Summary:
- Polymorph energy (0 for the lowest one): 0.0 meV per atom
- Spin magnetization: 0.000 μB/f.u.

Cell lengths 3.1299, 4.0247, 9.3937 Å; angles 90.00, 90.00, 90.00 degrees
Closest atoms and distances in Å follow each position.
Space group Immm (No. 71)
Symmetry-distinct sites (fractional):
Hf1 0.0000 0.0000 0.0000  4 H 2.24
Ti1 0.0000 0.0000 0.3307  4 H 2.01-2.17
H1 0.0000 0.5000 0.3287  4 Ti 2.01-2.17, 2 Hf 2.24



No. 3
Material: BaIn2Ni
Method: DFT, PBE
State: optimized geometry

Summary:
- Formation enthalpy at 0 K: -0.48 eV/f.u.
- Spin magnetization: 0.000 μB/f.u.

Cell lengths 3.4351, 3.4351, 8.3589 Å; angles 90.00, 90.00, 90.00 degrees
Closest atoms and distances in Å follow each position.
Space group P4/mmm (No. 123)
Symmetry-distinct sites (fractional):
Ba1 0.0000 0.0000 0.0000  4 Ba 3.44, 8 In 3.64
In1 0.5000 0.5000 0.3238  4 Ni 2.84, 1 In 2.95
Ni1 0.0000 0.0000 0.5000  8 In 2.84



no.,final energy (eV per cell)
1,-20.10
2,-67.08
3,-13.66